An optimized crystal structure of La2Mo2O. Source: Alexandria via LeMat-Bulk, functional GGA+U.

Calculated total energy   -5.14 eV/atom
ΔE to the lowest computed polymorph   3.243 kcal/mol of atoms
Space-group type   I4/mmm (139)

a b c (Å): 5.4372 5.4372 5.4372
angles (deg): 112.78 112.78 103.03
Last column: nearest neighbours and their distance in Å.
Element x y z (fractional)
La: 0.2500 0.7500 0.5000  4 Mo 3.03, 2 La 3.38
La: 0.7500 0.2500 0.5000  4 Mo 3.03, 2 La 3.38
Mo: 0.2022 0.2022 0.0000  1 O 2.02
Mo: 0.7978 0.7978 0.0000  1 O 2.02
O: 0.5000 0.5000 0.0000  2 Mo 2.02